Entry from Alexandria: a relaxed Y2HfMgTa crystal (PBE).

POSCAR file:
```
Y2HfMgTa
1.0
-0.985 -1.891 -5.077
-1.300 -4.573 1.956
-5.236 1.659 0.398
Y Mg Hf Ta
2 1 1 1
direct
0.000 0.000 0.500
0.500 0.000 0.000
0.500 0.500 0.500
0.000 0.500 0.000
0.000 0.000 0.000
```

Results
Its formation energy is 743 meV per atom. Its space group is No. 123. As for the density of states at the Fermi level: 6.12 states/eV/cell. The calculation puts the total energy at -6.5227 eV per atom.

Entry from Alexandria: a relaxed B5C crystal (PBE).

POSCAR file:
```
B5C
1.0
-2.683 0.182 -0.169
-0.324 -3.897 0.954
-0.408 2.202 8.860
B C
10 2
direct
0.500 0.534 0.196
0.000 0.412 0.091
0.000 0.021 0.000
0.500 0.687 0.000
0.500 0.500 0.500
0.000 0.205 0.500
0.000 0.879 0.384
0.500 0.534 0.804
0.000 0.412 0.909
0.000 0.879 0.616
0.500 0.718 0.341
0.500 0.718 0.659
```

Results
Its formation energy is 485 meV per atom. Its space group is No. 25. The calculation puts the distance to the lowest polymorph of the same formula at 1.73 eV/f.u. As for the density of states at the Fermi level: 3.21 states/eV/cell. The calculation puts the total energy at -6.6171 eV per atom.

Entry from Alexandria: a relaxed Rb2AsAuC crystal (PBE).

POSCAR file:
```
Rb2AsAuC
1.0
6.769 0.000 0.000
0.000 4.699 0.000
0.000 0.000 6.769
As Au C Rb
1 1 1 2
direct
0.000 0.000 0.000
0.000 0.500 0.000
0.500 0.500 0.500
0.000 0.000 0.500
0.500 0.000 0.000
```

Results
Its formation energy is 989 meV per atom. Its space group is No. 123. As for the density of states at the Fermi level: 5.19 states/eV/cell. The calculation puts the total energy at -2.8284 eV per atom.

Entry from Alexandria: a relaxed Ce2Si4Pd3Au crystal (PBE).

POSCAR file:
```
Ce2Si4Pd3Au
1.0
-1.147 3.880 1.369
-2.687 0.371 -3.300
-7.257 -4.069 5.453
Ce Si Pd Au
2 4 3 1
direct
0.500 0.000 0.244
0.000 0.500 0.756
0.500 0.500 0.000
0.000 0.000 0.000
0.500 0.000 0.639
0.000 0.500 0.361
0.000 0.000 0.500
0.500 0.000 0.881
0.000 0.500 0.119
0.500 0.500 0.500
```

Results
Its space group is No. 115. The uncorrected formation energy is -78.0 kJ/mol of atoms. As for the density of states at the Fermi level: 10.80 states/eV/cell. The calculation puts the total energy at -6.0496 eV per atom.

Entry from Alexandria: a relaxed CePtBr6 crystal (PBE).

POSCAR file:
```
CePtBr6
1.0
-7.035 4.655 3.964
-6.958 2.595 -2.773
-5.962 -3.743 0.127
Ce Pt Br
1 1 6
direct
0.000 0.000 0.000
0.500 0.500 0.000
0.734 0.536 0.691
0.734 0.227 0.309
0.266 0.773 0.691
0.266 0.464 0.309
0.782 0.888 0.000
0.218 0.112 0.000
```

Results
Its space group is No. 12. The uncorrected formation energy is -99.1 kJ/mol of atoms. The calculation puts the total energy at -3.7782 eV per atom.

Entry from Alexandria: a relaxed CaB2Cl6 crystal (PBE).

POSCAR file:
```
CaB2Cl6
1.0
9.814 0.034 0.033
3.065 8.472 -2.602
3.065 -2.326 8.552
Ca B Cl
2 4 12
direct
0.250 0.998 0.002
0.750 0.002 0.998
0.105 0.786 0.969
0.395 0.031 0.214
0.895 0.214 0.031
0.605 0.969 0.786
0.303 0.651 0.943
0.197 0.057 0.349
0.697 0.349 0.057
0.803 0.943 0.651
0.581 0.775 0.692
0.919 0.308 0.225
0.419 0.225 0.308
0.081 0.692 0.775
0.914 0.888 0.181
0.586 0.819 0.112
0.086 0.112 0.819
0.414 0.181 0.888
```

Results
Its space group is No. 15. The uncorrected formation energy is -90.2 kJ/mol of atoms. The calculation puts the total energy at -3.8720 eV per atom.

Entry from Alexandria: a relaxed Nd6Y3Tm2 crystal (PBE).

POSCAR file:
```
Nd6Y3Tm2
1.0
6.088 -2.206 2.108
-1.954 6.528 -0.566
2.748 -2.695 11.440
Nd Y Tm
6 3 2
direct
0.131 0.660 0.102
0.455 0.097 0.282
0.869 0.340 0.898
0.545 0.903 0.718
0.163 0.442 0.548
0.837 0.558 0.452
0.000 0.000 0.000
0.207 0.023 0.638
0.793 0.977 0.362
0.582 0.501 0.810
0.418 0.499 0.190
```

Results
Its formation energy is 72 meV per atom. Its space group is No. 2. The calculation puts the distance to the lowest polymorph of the same formula at 0.00 eV/f.u. As for the density of states at the Fermi level: 16.95 states/eV/cell. The calculation puts the total energy at -5.1044 eV per atom.

Entry from Alexandria: a relaxed Hf3Ti2In crystal (PBE).

POSCAR file:
```
Hf3Ti2In
1.0
-2.711 0.826 1.503
-2.747 -2.261 -3.713
0.301 -12.858 7.608
Hf Ti In
6 4 2
direct
0.500 0.500 0.678
0.501 0.000 0.500
0.500 0.500 0.322
0.500 0.000 0.178
0.499 0.500 0.000
0.500 0.000 0.822
0.000 0.000 0.661
0.000 0.000 0.339
0.000 0.500 0.161
0.000 0.500 0.839
0.001 0.500 0.500
0.999 0.000 0.000
```

Results
Its formation energy is 22 meV per atom. Its space group is No. 65. The calculation puts the distance to the lowest polymorph of the same formula at 0.47 eV/f.u. As for the density of states at the Fermi level: 18.23 states/eV/cell. The calculation puts the total energy at -8.0424 eV per atom.